A plane-wave DFT calculation with PBE with a Hubbard U was carried out for an optimized crystal structure of Na2MoP2O7.

Unit cell a=5.4771 b=5.4771 c=20.4873 alpha=90.00 beta=90.00 gamma=120.00
Space group R32 (No. 155, hexagonal axes)
One atom of each set of equivalent atoms:
Na (0.0000, 0.0000, 0.2384) x6
Mo (0.0000, 0.0000, 0.5000) x3
P (0.0000, 0.0000, 0.0780) x6
O (0.0000, 0.0000, 0.0000) x3
O (0.0325, 0.4496, 0.7651) x18

Calculated values
DFT total energy, eV per cell: -232.052
Magnetic moment, μB per formula unit: 2.09